A) First-principles (GGA-PBE) data for crystalline KNi3Pb at its relaxed geometry, as listed in Alexandria.

Computed properties:
Magnetic moment ... 1.16 Bohr magnetons per cell

a b c (Å): 4.980 4.980 4.980
angles (deg): 90.00 90.00 90.00
Space group Pm-3m (No. 221)
Symmetry-distinct sites (fractional):
K (0.000, 0.000, 0.000) [1 per cell]
Ni (0.000, 0.500, 0.500) [3 per cell]
Pb (0.500, 0.500, 0.500) [1 per cell]

***

B) First-principles (GGA-PBE) data for crystalline KNi3Pb at its relaxed geometry, as listed in Alexandria.

Computed properties:
Magnetic moment ... 0.00 Bohr magnetons per cell

a b c (Å): 4.657 4.657 4.657
angles (deg): 90.00 90.00 90.00
Space group Pm-3m (No. 221)
Symmetry-distinct sites (fractional):
K (0.000, 0.000, 0.000) [1 per cell]
Ni (0.000, 0.000, 0.500) [3 per cell]
Pb (0.500, 0.500, 0.500) [1 per cell]

***

Here is how they stack up, most stable first: A), B).

***

A) First-principles (GGA-PBE) data for crystalline K2NiPd at its relaxed geometry, as listed in Alexandria.

Computed properties:
Magnetic moment ... 2.35 Bohr magnetons per cell

a b c (Å): 7.664 7.664 7.664
angles (deg): 90.00 90.00 90.00
Space group Fm-3m (No. 225)
Symmetry-distinct sites (fractional):
K (0.250, 0.250, 0.250) [8 per cell]
Ni (0.000, 0.000, 0.000) [4 per cell]
Pd (0.000, 0.000, 0.500) [4 per cell]

***

B) First-principles (GGA-PBE) data for crystalline K2NiPd at its relaxed geometry, as listed in Alexandria.

Computed properties:
Magnetic moment ... 0.00 Bohr magnetons per cell

a b c (Å): 11.824 11.824 4.674
angles (deg): 90.00 90.00 90.00
Space group I-42d (No. 122)
Symmetry-distinct sites (fractional):
K (0.051, 0.250, 0.125) [8 per cell]
Ni (0.000, 0.000, 0.000) [4 per cell]
Pd (0.000, 0.000, 0.500) [4 per cell]

***

Here is how they stack up, most stable first: B), A).

***

A) First-principles (GGA-PBE) data for crystalline KNi2Pd2 at its relaxed geometry, as listed in Alexandria.

Computed properties:
Magnetic moment ... 4.10 Bohr magnetons per cell

a b c (Å): 4.288 4.288 10.033
angles (deg): 90.00 90.00 90.00
Space group I4/mmm (No. 139)
Symmetry-distinct sites (fractional):
K (0.000, 0.000, 0.000) [2 per cell]
Ni (0.000, 0.000, 0.384) [4 per cell]
Pd (0.000, 0.500, 0.250) [4 per cell]

***

B) First-principles (GGA-PBE) data for crystalline KNi2Pd2 at its relaxed geometry, as listed in Alexandria.

Computed properties:
Magnetic moment ... 3.25 Bohr magnetons per cell

a b c (Å): 7.813 7.813 2.696
angles (deg): 90.00 90.00 90.00
Space group P4/mbm (No. 127)
Symmetry-distinct sites (fractional):
K (0.000, 0.000, 0.000) [2 per cell]
Ni (0.112, 0.388, 0.000) [4 per cell]
Pd (0.177, 0.677, 0.500) [4 per cell]

***

C) First-principles (GGA-PBE) data for crystalline KNi2Pd2 at its relaxed geometry, as listed in Alexandria.

Computed properties:
Magnetic moment ... 3.19 Bohr magnetons per cell

a b c (Å): 7.835 7.835 2.700
angles (deg): 90.00 90.00 90.00
Space group P4/mbm (No. 127)
Symmetry-distinct sites (fractional):
K (0.000, 0.000, 0.000) [2 per cell]
Ni (0.162, 0.338, 0.500) [4 per cell]
Pd (0.130, 0.630, 0.000) [4 per cell]

***

Here is how they stack up, most stable first: B), C), A).

***

A) First-principles (GGA-PBE) data for crystalline KNiPt3 at its relaxed geometry, as listed in Alexandria.

Computed properties:
Magnetic moment ... 0.55 Bohr magnetons per cell

a b c (Å): 4.713 4.713 4.713
angles (deg): 90.00 90.00 90.00
Space group Pm-3m (No. 221)
Symmetry-distinct sites (fractional):
K (0.000, 0.000, 0.000) [1 per cell]
Ni (0.500, 0.500, 0.500) [1 per cell]
Pt (0.000, 0.500, 0.500) [3 per cell]

***

B) First-principles (GGA-PBE) data for crystalline KNiPt3 at its relaxed geometry, as listed in Alexandria.

Computed properties:
Magnetic moment ... 0.91 Bohr magnetons per cell

a b c (Å): 4.899 4.899 4.899
angles (deg): 90.00 90.00 90.00
Space group Pm-3m (No. 221)
Symmetry-distinct sites (fractional):
K (0.000, 0.000, 0.000) [1 per cell]
Ni (0.500, 0.500, 0.500) [1 per cell]
Pt (0.000, 0.000, 0.500) [3 per cell]

***

Here is how they stack up, most stable first: A), B).

***

A) First-principles (GGA-PBE) data for crystalline KNi3Pt at its relaxed geometry, as listed in Alexandria.

Computed properties:
Magnetic moment ... 3.13 Bohr magnetons per cell

a b c (Å): 4.756 4.756 4.756
angles (deg): 90.00 90.00 90.00
Space group Pm-3m (No. 221)
Symmetry-distinct sites (fractional):
K (0.000, 0.000, 0.000) [1 per cell]
Ni (0.000, 0.500, 0.500) [3 per cell]
Pt (0.500, 0.500, 0.500) [1 per cell]

***

B) First-principles (GGA-PBE) data for crystalline KNi3Pt at its relaxed geometry, as listed in Alexandria.

Computed properties:
Magnetic moment ... 0.44 Bohr magnetons per cell

a b c (Å): 4.335 4.335 4.335
angles (deg): 90.00 90.00 90.00
Space group Pm-3m (No. 221)
Symmetry-distinct sites (fractional):
K (0.000, 0.000, 0.000) [1 per cell]
Ni (0.000, 0.000, 0.500) [3 per cell]
Pt (0.500, 0.500, 0.500) [1 per cell]

***

Here is how they stack up, most stable first: A), B).

***

A) First-principles (GGA-PBE) data for crystalline K2RbNi at its relaxed geometry, as listed in Alexandria.

Computed properties:
Magnetic moment ... 0.00 Bohr magnetons per cell

a b c (Å): 8.735 8.735 8.735
angles (deg): 90.00 90.00 90.00
Space group Fm-3m (No. 225)
Symmetry-distinct sites (fractional):
K (0.250, 0.250, 0.250) [8 per cell]
Rb (0.000, 0.000, 0.000) [4 per cell]
Ni (0.000, 0.000, 0.500) [4 per cell]

***

B) First-principles (GGA-PBE) data for crystalline K2RbNi at its relaxed geometry, as listed in Alexandria.

Computed properties:
Magnetic moment ... 0.00 Bohr magnetons per cell

a b c (Å): 9.099 9.099 13.169
angles (deg): 90.00 90.00 90.00
Space group I-42d (No. 122)
Symmetry-distinct sites (fractional):
K (0.064, 0.250, 0.125) [8 per cell]
Rb (0.000, 0.000, 0.500) [4 per cell]
Ni (0.000, 0.000, 0.000) [4 per cell]

***

Here is how they stack up, most stable first: A), B).

***

A) First-principles (GGA-PBE) data for crystalline KRbNi2 at its relaxed geometry, as listed in Alexandria.

Computed properties:
Magnetic moment ... 0.00 Bohr magnetons per cell

a b c (Å): 7.740 7.740 7.740
angles (deg): 90.00 90.00 90.00
Space group Fm-3m (No. 225)
Symmetry-distinct sites (fractional):
K (0.000, 0.000, 0.000) [4 per cell]
Rb (0.000, 0.000, 0.500) [4 per cell]
Ni (0.250, 0.250, 0.250) [8 per cell]

***

B) First-principles (GGA-PBE) data for crystalline KRbNi2 at its relaxed geometry, as listed in Alexandria.

Computed properties:
Magnetic moment ... 4.26 Bohr magnetons per cell

a b c (Å): 8.913 8.913 5.690
angles (deg): 90.00 90.00 90.00
Space group I-42d (No. 122)
Symmetry-distinct sites (fractional):
K (0.000, 0.000, 0.000) [4 per cell]
Rb (0.000, 0.000, 0.500) [4 per cell]
Ni (0.247, 0.750, 0.125) [8 per cell]

***

Here is how they stack up, most stable first: B), A).

***

A) First-principles (GGA-PBE) data for crystalline KRb2Ni at its relaxed geometry, as listed in Alexandria.

Computed properties:
Magnetic moment ... 0.00 Bohr magnetons per cell

a b c (Å): 8.944 8.944 8.944
angles (deg): 90.00 90.00 90.00
Space group Fm-3m (No. 225)
Symmetry-distinct sites (fractional):
K (0.000, 0.000, 0.000) [4 per cell]
Rb (0.250, 0.250, 0.250) [8 per cell]
Ni (0.000, 0.000, 0.500) [4 per cell]

***

B) First-principles (GGA-PBE) data for crystalline KRb2Ni at its relaxed geometry, as listed in Alexandria.

Computed properties:
Magnetic moment ... 2.17 Bohr magnetons per cell

a b c (Å): 9.167 9.167 16.726
angles (deg): 90.00 90.00 90.00
Space group I-42d (No. 122)
Symmetry-distinct sites (fractional):
K (0.000, 0.000, 0.000) [4 per cell]
Rb (0.094, 0.250, 0.625) [8 per cell]
Ni (0.000, 0.000, 0.500) [4 per cell]

***

Here is how they stack up, most stable first: A), B).

***

A) First-principles (GGA-PBE) data for crystalline KRb2Ni2 at its relaxed geometry, as listed in Alexandria.

Computed properties:
Magnetic moment ... 2.26 Bohr magnetons per cell

a b c (Å): 8.578 8.578 5.266
angles (deg): 90.00 90.00 90.00
Space group P4/mbm (No. 127)
Symmetry-distinct sites (fractional):
K (0.000, 0.000, 0.000) [2 per cell]
Rb (0.165, 0.335, 0.500) [4 per cell]
Ni (0.093, 0.593, 0.000) [4 per cell]

***

B) First-principles (GGA-PBE) data for crystalline KRb2Ni2 at its relaxed geometry, as listed in Alexandria.

Computed properties:
Magnetic moment ... 2.22 Bohr magnetons per cell

a b c (Å): 5.559 5.559 13.122
angles (deg): 90.00 90.00 90.00
Space group I4/mmm (No. 139)
Symmetry-distinct sites (fractional):
K (0.000, 0.000, 0.000) [2 per cell]
Rb (0.000, 0.500, 0.250) [4 per cell]
Ni (0.000, 0.000, 0.415) [4 per cell]

***

Here is how they stack up, most stable first: A), B).

***

A) First-principles (GGA-PBE) data for crystalline KRbTl2Ni at its relaxed geometry, as listed in Alexandria.

Computed properties:
Magnetic moment ... 0.00 Bohr magnetons per cell

a b c (Å): 5.223 5.223 6.139
angles (deg): 90.00 90.00 90.00
Space group P4/mmm (No. 123)
Symmetry-distinct sites (fractional):
K (0.000, 0.000, 0.000) [1 per cell]
Rb (0.500, 0.500, 0.000) [1 per cell]
Tl (0.000, 0.500, 0.500) [2 per cell]
Ni (0.000, 0.000, 0.500) [1 per cell]

***

B) First-principles (GGA-PBE) data for crystalline KRbTl2Ni at its relaxed geometry, as listed in Alexandria.

Computed properties:
Magnetic moment ... 0.00 Bohr magnetons per cell

a b c (Å): 5.234 5.234 6.222
angles (deg): 90.00 90.00 90.00
Space group P4/mmm (No. 123)
Symmetry-distinct sites (fractional):
K (0.000, 0.000, 0.000) [1 per cell]
Rb (0.500, 0.500, 0.000) [1 per cell]
Tl (0.000, 0.500, 0.500) [2 per cell]
Ni (0.500, 0.500, 0.500) [1 per cell]

***

Here is how they stack up, most stable first: A), B).

***

A) First-principles (GGA-PBE) data for crystalline KReNi2 at its relaxed geometry, as listed in Alexandria.

Computed properties:
Magnetic moment ... 0.33 Bohr magnetons per cell

a b c (Å): 2.621 4.090 7.159
angles (deg): 90.00 99.86 90.00
Space group Pm (No. 6)
Symmetry-distinct sites (fractional):
K (0.000, 0.000, 0.000) [1 per cell]
Re (0.291, 0.500, 0.613) [1 per cell]
Ni (0.651, 0.500, 0.316) [1 per cell]
Ni (0.739, 0.000, 0.506) [1 per cell]

***

B) First-principles (GGA-PBE) data for crystalline KReNi2 at its relaxed geometry, as listed in Alexandria.

Computed properties:
Magnetic moment ... 0.00 Bohr magnetons per cell

a b c (Å): 6.233 6.233 6.233
angles (deg): 90.00 90.00 90.00
Space group F-43m (No. 216)
Symmetry-distinct sites (fractional):
K (0.000, 0.000, 0.000) [4 per cell]
Re (0.250, 0.250, 0.250) [4 per cell]
Ni (0.000, 0.000, 0.500) [4 per cell]
Ni (0.250, 0.250, 0.750) [4 per cell]

***

Here is how they stack up, most stable first: A), B).

***

A) First-principles (GGA-PBE) data for crystalline KReNi2 at its relaxed geometry, as listed in Alexandria.

Computed properties:
Magnetic moment ... 0.90 Bohr magnetons per cell

a b c (Å): 2.7837 2.7837 28.7626
angles (deg): 90.00 90.00 120.00
Space group R-3m (No. 166, hexagonal axes)
Symmetry-distinct sites (fractional):
K (0.0000, 0.0000, 0.0000) [3 per cell]
Re (0.0000, 0.0000, 0.5000) [3 per cell]
Ni (0.0000, 0.0000, 0.2362) [6 per cell]

***

B) First-principles (GGA-PBE) data for crystalline KReNi2 at its relaxed geometry, as listed in Alexandria.

Computed properties:
Magnetic moment ... 0.00 Bohr magnetons per cell

a b c (Å): 4.885 4.885 2.587
angles (deg): 90.00 90.00 90.00
Space group P4/mmm (No. 123)
Symmetry-distinct sites (fractional):
K (0.000, 0.000, 0.000) [1 per cell]
Re (0.500, 0.500, 0.000) [1 per cell]
Ni (0.000, 0.500, 0.500) [2 per cell]

***

C) First-principles (GGA-PBE) data for crystalline KReNi2 at its relaxed geometry, as listed in Alexandria.

Computed properties:
Magnetic moment ... 0.00 Bohr magnetons per cell

a b c (Å): 2.673 2.673 9.027
angles (deg): 90.00 90.00 90.00
Space group P4mm (No. 99)
Symmetry-distinct sites (fractional):
K (0.000, 0.000, 0.000) [1 per cell]
Re (0.500, 0.500, 0.663) [1 per cell]
Ni (0.000, 0.000, 0.467) [1 per cell]
Ni (0.500, 0.500, 0.291) [1 per cell]

***

Here is how they stack up, most stable first: C), A), B).